[1]
This record from Alexandria describes NaZr3In after structural relaxation. The functional is GGA-PBE.

POSCAR file:
```
NaZr3In
1.0
5.002 0.000 0.000
0.000 5.002 0.000
0.000 0.000 5.002
Zr Na In
3 1 1
direct
0.500 0.000 0.000
0.000 0.000 0.500
0.000 0.500 0.000
0.000 0.000 0.000
0.500 0.500 0.500
```

Output
* space group: Pm-3m (221)
* energy relative to the elements: 1.18 eV per atom

=====

[2]
This record from Alexandria describes YTe2Pt after structural relaxation. The functional is GGA-PBE.

POSCAR file:
```
YTe2Pt
1.0
-4.194 -2.647 -2.747
-2.683 -0.855 4.920
-7.220 5.140 0.221
Te Pt Y
4 2 2
direct
0.078 0.625 0.250
0.375 0.328 0.750
0.875 0.922 0.750
0.672 0.125 0.250
0.750 0.250 0.500
0.000 0.000 0.000
0.250 0.750 0.500
0.500 0.500 0.000
```

Output
* formation energy (no corrections): -0.5621 eV/atom
* space group: I-42d (122)

=====

[3]
This record from Alexandria describes Nd3In2Au7 after structural relaxation. The functional is GGA-PBE.

POSCAR file:
```
Nd3In2Au7
1.0
4.323 0.000 0.000
0.000 4.323 0.000
-2.162 -2.162 15.176
Nd In Au
3 2 7
direct
0.322 0.322 0.643
0.678 0.678 0.357
0.500 0.500 0.000
0.868 0.868 0.737
0.132 0.132 0.263
0.000 0.000 0.000
0.926 0.426 0.852
0.574 0.074 0.148
0.426 0.926 0.852
0.074 0.574 0.148
0.777 0.777 0.553
0.223 0.223 0.447
```

Output
* space group: I4/mmm (139)
* energy relative to the elements: -0.47 eV per atom

=====

[4]
This record from Alexandria describes PmPr2Rh9 after structural relaxation. The functional is GGA-PBE.

POSCAR file:
```
PmPr2Rh9
1.0
5.329 0.000 0.000
2.664 4.615 0.000
2.664 1.538 8.900
Rh Pr Pm
9 2 1
direct
0.333 0.333 0.002
0.420 0.918 0.243
0.082 0.580 0.757
0.420 0.420 0.243
0.667 0.667 0.998
0.580 0.082 0.757
0.918 0.420 0.243
0.580 0.580 0.757
0.500 0.500 0.500
0.861 0.861 0.416
0.139 0.139 0.584
0.000 0.000 0.000
```

Output
* space group: R-3m (166)
* energy relative to the elements: -0.49 eV per atom

=====

[5]
This record from Alexandria describes CsGaAs after structural relaxation. The functional is GGA-PBE.

POSCAR file:
```
CsGaAs
1.0
4.972 0.000 0.000
0.000 8.275 0.021
0.000 -0.024 9.508
Ga Cs As
4 4 4
direct
0.750 0.008 0.125
0.250 0.992 0.375
0.250 0.992 0.875
0.750 0.008 0.625
0.250 0.665 0.125
0.250 0.665 0.625
0.750 0.335 0.375
0.750 0.335 0.875
0.250 0.148 0.125
0.750 0.852 0.375
0.250 0.148 0.625
0.750 0.852 0.875
```

Output
* space group: Pmmn (59)
* energy relative to the elements: -0.36 eV per atom

=====

[6]
This record from Alexandria describes KCr4Au after structural relaxation. The functional is GGA-PBE.

POSCAR file:
```
KCr4Au
1.0
2.594 -4.334 0.604
-2.120 -4.436 -1.305
1.703 -2.533 -4.069
Cr K Au
4 1 1
direct
0.382 0.853 0.382
0.853 0.382 0.382
0.382 0.382 0.382
0.382 0.382 0.853
0.750 0.750 0.750
0.000 0.000 0.000
```

Output
* space group: F-43m (216)
* energy relative to the elements: 1.08 eV per atom

=====

[7]
This record from Alexandria describes Hg2SbPtSe after structural relaxation. The functional is GGA-PBE.

POSCAR file:
```
Hg2SbPtSe
1.0
5.108 0.000 0.000
0.000 5.627 0.000
0.000 0.000 5.108
Hg Pt Se Sb
2 1 1 1
direct
0.000 0.000 0.500
0.500 0.000 0.000
0.500 0.500 0.500
0.000 0.000 0.000
0.000 0.500 0.000
```

Output
* formation energy (no corrections): 0.8514 eV/atom
* space group: P4/mmm (123)

=====

[8]
This record from Alexandria describes BaNaGaAg2 after structural relaxation. The functional is GGA-PBE.

POSCAR file:
```
BaNaGaAg2
1.0
5.120 0.000 0.000
0.000 5.120 0.000
0.000 0.000 5.418
Ag Ba Ga Na
2 1 1 1
direct
0.000 0.500 0.000
0.500 0.000 0.000
0.500 0.500 0.500
0.000 0.000 0.000
0.000 0.000 0.500
```

Output
* space group: P4/mmm (123)
* energy relative to the elements: -0.06 eV per atom